BePtAu2 after structural relaxation. Source: Alexandria via LeMat-Bulk, functional PBE-GGA.

```
data_BePtAu2
_cell_length_a 3.761
_cell_length_b 3.761
_cell_length_c 18.974
_cell_angle_alpha 90.00
_cell_angle_beta 90.00
_cell_angle_gamma 90.00
_symmetry_space_group_name_H-M 'I -4 2 d'
_symmetry_Int_Tables_number 122
_symmetry_space_group_name_Hall 'I -4 2bw'
loop_
_atom_site_label
_atom_site_fract_x
_atom_site_fract_y
_atom_site_fract_z
Be1 0.000 0.000 0.000
Pt1 0.000 0.000 0.500
Au1 0.246 0.250 0.125
```

Results
E_form	0.69	eV per formula unit
calculated volume	16.77	Å³ per atom
density of states at the Fermi level	1.18	states/eV/f.u.
size of the total moment	0.000	Bohr magnetons per cell

Rb3GaF8 after structural relaxation. Source: Alexandria via LeMat-Bulk, functional PBE-GGA.

```
data_Rb3GaF8
_cell_length_a 6.160
_cell_length_b 6.160
_cell_length_c 12.002
_cell_angle_alpha 90.00
_cell_angle_beta 90.00
_cell_angle_gamma 90.00
_symmetry_space_group_name_H-M 'I 4/m m m'
_symmetry_Int_Tables_number 139
_symmetry_space_group_name_Hall '-I 4 2'
loop_
_atom_site_label
_atom_site_fract_x
_atom_site_fract_y
_atom_site_fract_z
Rb1 0.000 0.000 0.000
Rb2 0.000 0.500 0.250
Ga1 0.000 0.000 0.500
F1 0.195 0.195 0.400
```

Results
uncorrected formation energy	-2.145	eV per atom
calculated volume	18.98	Å³ per atom
density of states at the Fermi level	11.11	states/eV/f.u.
size of the total moment	4.036	Bohr magnetons per cell

La6Nd2SmEr after structural relaxation. Source: Alexandria via LeMat-Bulk, functional PBE-GGA.

```
data_La6Nd2SmEr
_cell_length_a 9.912
_cell_length_b 15.410
_cell_length_c 9.306
_cell_angle_alpha 90.00
_cell_angle_beta 90.13
_cell_angle_gamma 90.00
_symmetry_space_group_name_H-M 'C 1 2/c 1'
_symmetry_Int_Tables_number 15
_symmetry_space_group_name_Hall '-C 2yc'
loop_
_atom_site_label
_atom_site_fract_x
_atom_site_fract_y
_atom_site_fract_z
La1 0.073 0.149 0.093
La2 0.075 0.354 0.907
La3 0.249 0.218 0.681
Nd1 0.249 0.455 0.564
Sm1 0.000 0.069 0.750
Er1 0.000 0.431 0.250
```

Results
E_form	1.09	eV per formula unit
calculated volume	35.53	Å³ per atom
density of states at the Fermi level	12.41	states/eV/f.u.
size of the total moment	0.000	Bohr magnetons per cell

Tb3Er4Zn after structural relaxation. Source: Alexandria via LeMat-Bulk, functional PBE-GGA.

```
data_Tb3Er4Zn
_cell_length_a 3.528
_cell_length_b 3.528
_cell_length_c 18.640
_cell_angle_alpha 90.00
_cell_angle_beta 90.00
_cell_angle_gamma 90.00
_symmetry_space_group_name_H-M 'P 4/m m m'
_symmetry_Int_Tables_number 123
_symmetry_space_group_name_Hall '-P 4 2'
loop_
_atom_site_label
_atom_site_fract_x
_atom_site_fract_y
_atom_site_fract_z
Tb1 0.000 0.000 0.000
Tb2 0.000 0.000 0.268
Er1 0.500 0.500 0.135
Er2 0.500 0.500 0.405
Zn1 0.000 0.000 0.500
```

Results
E_form	-0.58	eV per formula unit
calculated volume	29.00	Å³ per atom
density of states at the Fermi level	9.58	states/eV/f.u.
size of the total moment	0.000	Bohr magnetons per cell

Re2TeW after structural relaxation. Source: Alexandria via LeMat-Bulk, functional PBE-GGA.

```
data_Re2TeW
_cell_length_a 3.168
_cell_length_b 4.718
_cell_length_c 9.563
_cell_angle_alpha 90.00
_cell_angle_beta 90.00
_cell_angle_gamma 90.00
_symmetry_space_group_name_H-M 'C m m m'
_symmetry_Int_Tables_number 65
_symmetry_space_group_name_Hall '-C 2 2'
loop_
_atom_site_label
_atom_site_fract_x
_atom_site_fract_y
_atom_site_fract_z
Re1 0.000 0.000 0.219
Te1 0.000 0.500 0.500
W1 0.000 0.500 0.000
```

Results
uncorrected formation energy	0.756	eV per atom
calculated volume	17.86	Å³ per atom
density of states at the Fermi level	3.81	states/eV/f.u.
size of the total moment	0.000	Bohr magnetons per cell

Al3GeMo after structural relaxation. Source: Alexandria via LeMat-Bulk, functional PBE-GGA.

```
data_Al3GeMo
_cell_length_a 4.837
_cell_length_b 4.837
_cell_length_c 4.837
_cell_angle_alpha 90.00
_cell_angle_beta 90.00
_cell_angle_gamma 90.00
_symmetry_space_group_name_H-M 'P m -3 m'
_symmetry_Int_Tables_number 221
_symmetry_space_group_name_Hall '-P 4 2 3'
loop_
_atom_site_label
_atom_site_fract_x
_atom_site_fract_y
_atom_site_fract_z
Al1 0.000 0.000 0.500
Ge1 0.500 0.500 0.500
Mo1 0.000 0.000 0.000
```

Results
E_form	3.46	eV per formula unit
calculated volume	22.64	Å³ per atom
density of states at the Fermi level	3.05	states/eV/f.u.
size of the total moment	0.000	Bohr magnetons per cell

HfZr3Ga after structural relaxation. Source: Alexandria via LeMat-Bulk, functional PBE-GGA.

```
data_HfZr3Ga
_cell_length_a 5.141
_cell_length_b 5.141
_cell_length_c 5.141
_cell_angle_alpha 90.00
_cell_angle_beta 90.00
_cell_angle_gamma 90.00
_symmetry_space_group_name_H-M 'P m -3 m'
_symmetry_Int_Tables_number 221
_symmetry_space_group_name_Hall '-P 4 2 3'
loop_
_atom_site_label
_atom_site_fract_x
_atom_site_fract_y
_atom_site_fract_z
Hf1 0.000 0.000 0.000
Zr1 0.000 0.000 0.500
Ga1 0.500 0.500 0.500
```

Results
E_form	5.42	eV per formula unit
calculated volume	27.18	Å³ per atom
density of states at the Fermi level	9.27	states/eV/f.u.
size of the total moment	0.000	Bohr magnetons per cell

Be2InW after structural relaxation. Source: Alexandria via LeMat-Bulk, functional PBE-GGA.

```
data_Be2InW
_cell_length_a 8.654
_cell_length_b 2.799
_cell_length_c 5.052
_cell_angle_alpha 90.00
_cell_angle_beta 98.24
_cell_angle_gamma 90.00
_symmetry_space_group_name_H-M 'C 1 2/m 1'
_symmetry_Int_Tables_number 12
_symmetry_space_group_name_Hall '-C 2y'
loop_
_atom_site_label
_atom_site_fract_x
_atom_site_fract_y
_atom_site_fract_z
Be1 0.236 0.000 0.158
In1 0.000 0.000 0.500
W1 0.000 0.500 0.000
```

Results
E_form	1.81	eV per formula unit
calculated volume	15.14	Å³ per atom
density of states at the Fermi level	1.45	states/eV/f.u.
size of the total moment	0.000	Bohr magnetons per cell

Ti5O2 after structural relaxation. Source: Alexandria via LeMat-Bulk, functional PBE-GGA.

```
data_Ti5O2
_cell_length_a 13.075
_cell_length_b 5.188
_cell_length_c 5.627
_cell_angle_alpha 90.00
_cell_angle_beta 105.45
_cell_angle_gamma 90.00
_symmetry_space_group_name_H-M 'C 1 2/c 1'
_symmetry_Int_Tables_number 15
_symmetry_space_group_name_Hall '-C 2yc'
loop_
_atom_site_label
_atom_site_fract_x
_atom_site_fract_y
_atom_site_fract_z
Ti1 0.000 0.094 0.250
Ti2 0.102 0.419 0.951
Ti3 0.199 0.083 0.652
O1 0.151 0.248 0.299
```

Results
uncorrected formation energy	-1.573	eV per atom
calculated volume	13.14	Å³ per atom
density of states at the Fermi level	3.02	states/eV/f.u.
size of the total moment	0.000	Bohr magnetons per cell

BaPm2Au3 after structural relaxation. Source: Alexandria via LeMat-Bulk, functional PBE-GGA.

```
data_BaPm2Au3
_cell_length_a 3.797
_cell_length_b 3.797
_cell_length_c 11.445
_cell_angle_alpha 90.00
_cell_angle_beta 90.00
_cell_angle_gamma 90.00
_symmetry_space_group_name_H-M 'P 4/m m m'
_symmetry_Int_Tables_number 123
_symmetry_space_group_name_Hall '-P 4 2'
loop_
_atom_site_label
_atom_site_fract_x
_atom_site_fract_y
_atom_site_fract_z
Ba1 0.000 0.000 0.000
Pm1 0.000 0.000 0.339
Au1 0.500 0.500 0.205
Au2 0.500 0.500 0.500
```

Results
E_form	-4.48	eV per formula unit
calculated volume	27.50	Å³ per atom
density of states at the Fermi level	4.42	states/eV/f.u.
size of the total moment	0.000	Bohr magnetons per cell

Pr2NdPaBi4 after structural relaxation. Source: Alexandria via LeMat-Bulk, functional PBE-GGA.

```
data_Pr2NdPaBi4
_cell_length_a 7.952
_cell_length_b 4.579
_cell_length_c 7.957
_cell_angle_alpha 90.00
_cell_angle_beta 109.21
_cell_angle_gamma 90.00
_symmetry_space_group_name_H-M 'P 1 2/m 1'
_symmetry_Int_Tables_number 10
_symmetry_space_group_name_Hall '-P 2y'
loop_
_atom_site_label
_atom_site_fract_x
_atom_site_fract_y
_atom_site_fract_z
Pr1 0.000 0.000 0.000
Pr2 0.500 0.500 0.000
Nd1 0.000 0.500 0.500
Pa1 0.500 0.000 0.500
Bi1 0.254 0.000 0.744
Bi2 0.257 0.500 0.258
```

Results
E_form	-5.85	eV per formula unit
calculated volume	34.20	Å³ per atom
density of states at the Fermi level	7.58	states/eV/f.u.
size of the total moment	1.048	Bohr magnetons per cell

Cs2BiPdI6 after structural relaxation. Source: Alexandria via LeMat-Bulk, functional PBE-GGA.

```
data_Cs2BiPdI6
_cell_length_a 8.486
_cell_length_b 8.486
_cell_length_c 11.905
_cell_angle_alpha 90.00
_cell_angle_beta 90.00
_cell_angle_gamma 90.00
_symmetry_space_group_name_H-M 'I 4/m m m'
_symmetry_Int_Tables_number 139
_symmetry_space_group_name_Hall '-I 4 2'
loop_
_atom_site_label
_atom_site_fract_x
_atom_site_fract_y
_atom_site_fract_z
Cs1 0.000 0.500 0.250
Bi1 0.000 0.000 0.000
Pd1 0.000 0.000 0.500
I1 0.000 0.000 0.262
I2 0.240 0.240 0.500
```

Results
uncorrected formation energy	-0.805	eV per atom
calculated volume	42.87	Å³ per atom
density of states at the Fermi level	3.83	states/eV/f.u.
size of the total moment	0.000	Bohr magnetons per cell